Record 1
## MnGe4H24C8S10N2 (SCAN)

Data for a crystal of MnGe4H24C8S10N2 relaxed with PBEsol. Values from VASP.

**Symmetry**: No. 82

Quantum ESPRESSO input file:
```
&SYSTEM
  ibrav = 0, nat = 49, ntyp = 6
/
ATOMIC_SPECIES
C 12.01 C.upf
H 1.01 H.upf
S 32.06 S.upf
Mn 54.94 Mn.upf
N 14.01 N.upf
Ge 72.64 Ge.upf
CELL_PARAMETERS angstrom
9.4089 0.0000 0.0000
-4.7044 8.5727 -0.0557
0.0000 5.2142 7.8320
ATOMIC_POSITIONS crystal
C 0.1851 0.1201 0.9694
C 0.8880 0.6200 0.7925
C 0.5876 0.3800 0.8880
H 0.6304 0.5310 0.5553
S 0.2491 0.0045 0.3828
H 0.9619 0.7928 0.2467
H 0.8552 0.7076 0.4903
S 0.3828 0.9955 0.7554
S 0.1686 0.6591 0.3222
H 0.7006 0.7085 0.6020
C 0.9104 0.8799 0.1851
H 0.9137 0.4690 0.6304
H 0.8524 0.7076 0.8021
H 0.9006 0.5310 0.9137
C 0.7925 0.3800 0.7320
S 0.4906 0.6591 0.0187
H 0.2312 0.0287 0.0365
C 0.9351 0.1201 0.9104
H 0.9347 0.9713 0.2312
Mn 0.2500 0.5000 0.2500
N 0.7500 0.5000 0.7500
S 0.3171 0.6341 0.6829
H 0.6895 0.2915 0.7006
H 0.0079 0.7085 0.6895
H 0.0365 0.9713 0.7976
H 0.2467 0.2072 0.8309
H 0.0193 0.7927 0.0023
H 0.9605 0.2072 0.9619
Ge 0.4105 0.1770 0.4796
H 0.7976 0.0287 0.9347
S 0.6829 0.3659 0.3171
H 0.7734 0.7927 0.2050
H 0.6020 0.2915 0.0079
H 0.5553 0.4690 0.9006
Ge 0.4796 0.8230 0.7666
H 0.2050 0.2073 0.0193
S 0.3222 0.3409 0.4906
C 0.9694 0.8799 0.9351
H 0.8309 0.7928 0.9605
S 0.6127 0.9955 0.2491
N 0.0000 0.0000 0.0000
H 0.8021 0.2924 0.8552
S 0.0187 0.3409 0.1686
Ge 0.7666 0.1770 0.3434
H 0.0023 0.2073 0.7734
H 0.4903 0.2924 0.8524
Ge 0.3434 0.8230 0.4105
S 0.7554 0.0045 0.6127
C 0.7320 0.6200 0.5876
```

Record 2
## Zr2TaIr (SCAN)

Data for a crystal of Zr2TaIr relaxed with PBEsol. Values from VASP.

**Energy of formation from the pure elements**: -488 meV/atom
**Energy above the most stable polymorph in this dataset**: 0 meV per atom
**Symmetry**: No. 123

Quantum ESPRESSO input file:
```
&SYSTEM
  ibrav = 0, nat = 4, ntyp = 3
/
ATOMIC_SPECIES
Zr 91.22 Zr.upf
Ta 180.95 Ta.upf
Ir 192.22 Ir.upf
CELL_PARAMETERS angstrom
-0.8569 -2.9508 1.1974
1.3266 0.7965 2.9122
-5.9505 2.5455 2.0145
ATOMIC_POSITIONS crystal
Zr 0.0000 0.0000 0.2360
Ta 0.5000 0.5000 0.5000
Ir 0.5000 0.5000 0.0000
Zr 0.0000 0.0000 0.7640
```

Record 3
## SiAgMo2 (SCAN)

Data for a crystal of SiAgMo2 relaxed with PBEsol. Values from VASP.

**Formation energy without anion corrections**: 0.38 eV per atom
**Symmetry**: No. 216

Quantum ESPRESSO input file:
```
&SYSTEM
  ibrav = 0, nat = 4, ntyp = 3
/
ATOMIC_SPECIES
Ag 107.87 Ag.upf
Mo 95.94 Mo.upf
Si 28.09 Si.upf
CELL_PARAMETERS angstrom
4.3871 0.0000 0.0000
2.1935 3.7993 0.0000
2.1935 1.2664 3.5820
ATOMIC_POSITIONS crystal
Ag 0.5000 0.5000 0.5000
Mo 0.0000 0.0000 0.0000
Mo 0.7500 0.7500 0.7500
Si 0.2500 0.2500 0.2500
```

Record 4
## CrAs2P (SCAN)

Data for a crystal of CrAs2P relaxed with PBEsol. Values from VASP.

**Energy of formation from the pure elements**: 329 meV/atom
**Symmetry**: No. 123

Quantum ESPRESSO input file:
```
&SYSTEM
  ibrav = 0, nat = 4, ntyp = 3
/
ATOMIC_SPECIES
As 74.92 As.upf
P 30.97 P.upf
Cr 52.00 Cr.upf
CELL_PARAMETERS angstrom
-2.2296 -0.6011 1.9325
-1.8540 -0.5463 -2.3089
1.7217 -6.1518 0.0729
ATOMIC_POSITIONS crystal
As 0.0000 0.0000 0.7837
P 0.5000 0.5000 0.5000
Cr 0.5000 0.5000 0.0000
As 0.0000 0.0000 0.2163
```

no.,total energy (eV/atom)
1,-7.904
2,-50.258
3,-27.405
4,-16.962